w:
Here is SeS2N after structural relaxation from Alexandria via LeMat-Bulk. Energies are from PBE-GGA.

Calculated values
**Space group**: R-3m, No. 166
**Theoretical density**: 2.84 g/cm3

Cell and atoms, written as POSCAR:
```
SeS2N
1.0
1.8685 6.6458 1.0963
5.2628 4.5386 0.7518
3.2486 5.6468 -2.5338
Se S N
1 2 1
Cartesian
5.1899 8.4156 -0.3429
9.5683 15.5153 -0.6321
0.8116 1.3160 -0.0536
0.0000 0.0000 0.0000
```

***

x:
Here is SeS2N after structural relaxation from Alexandria via LeMat-Bulk. Energies are from PBE-GGA.

Calculated values
**Space group**: I-42d, No. 122
**Theoretical density**: 3.66 g/cm3

Cell and atoms, written as POSCAR:
```
SeS2N
1.0
5.0517 0.0000 0.0000
0.0000 5.0517 0.0000
2.5258 2.5258 5.5798
Se S N
2 4 2
Cartesian
0.0000 0.0000 0.0000
5.0517 2.5258 2.7899
2.9302 1.2629 1.3949
3.7888 4.6473 4.1848
6.3146 5.4561 4.1848
2.1215 3.7888 1.3949
2.5258 2.5258 0.0000
2.5258 5.0517 2.7899
```

***

Tell me which of them is the most stable. Sure, it is w.

***

w:
Here is SeSN after structural relaxation from Alexandria via LeMat-Bulk. Energies are from PBE-GGA.

Calculated values
**Space group**: P-1, No. 2
**Theoretical density**: 2.76 g/cm3

Cell and atoms, written as POSCAR:
```
SeSN
1.0
-7.7479 -0.1914 -0.6750
-0.2083 -3.7873 -1.6807
3.6156 0.4405 5.6104
N Se S
2 2 2
Cartesian
-0.8725 -0.3188 1.1312
2.0307 -2.0662 2.4707
-7.2530 -0.7698 -0.7258
0.6633 -1.8066 3.6527
-0.7172 -0.2763 2.7379
-5.8725 -2.3001 0.1890
```

***

x:
Here is SeSN after structural relaxation from Alexandria via LeMat-Bulk. Energies are from PBE-GGA.

Calculated values
**Space group**: P1, No. 1
**Theoretical density**: 2.64 g/cm3

Cell and atoms, written as POSCAR:
```
SeSN
1.0
-1.2350 -0.2487 5.1802
3.6724 -1.2614 2.4666
5.1168 5.9490 -1.6855
S Se N
2 2 2
Cartesian
6.6019 3.8148 1.8592
4.0988 0.1653 5.9709
6.6163 5.1467 0.0679
4.5793 2.8841 1.9900
3.2989 1.5075 5.6597
0.8314 0.8616 2.1095
```

***

Tell me which of them is the most stable. Sure, it is x.

***

w:
Here is Se3SN after structural relaxation from Alexandria via LeMat-Bulk. Energies are from PBE-GGA.

Calculated values
**Space group**: Pm-3m, No. 221
**Theoretical density**: 4.00 g/cm3

Cell and atoms, written as POSCAR:
```
Se3SN
1.0
-2.4299 3.8961 -1.6983
-4.2481 -2.2867 0.8323
-0.1309 1.8868 4.5157
Se N S
3 1 1
Cartesian
-1.2150 1.9480 -0.8492
-0.0654 0.9434 2.2578
-2.1240 -1.1434 0.4162
-3.4045 1.7480 1.8248
0.0000 0.0000 0.0000
```

***

x:
Here is Se3SN after structural relaxation from Alexandria via LeMat-Bulk. Energies are from PBE-GGA.

Calculated values
**Space group**: Pm-3m, No. 221
**Theoretical density**: 5.44 g/cm3

Cell and atoms, written as POSCAR:
```
Se3SN
1.0
-1.6063 1.3558 3.8889
-4.1113 -0.2820 -1.5999
-0.2426 -4.1981 1.3635
Se S N
3 1 1
Cartesian
-2.0556 -0.1410 -0.7999
-0.8032 0.6779 1.9444
-0.1213 -2.0990 0.6817
-2.9801 -1.5621 1.8262
0.0000 0.0000 0.0000
```

***

Tell me which of them is the most stable. Sure, it is x.

***

w:
Here is SeS2N2 after structural relaxation from Alexandria via LeMat-Bulk. Energies are from PBE-GGA.

Calculated values
**Space group**: P4/mmm, No. 123
**Theoretical density**: 3.14 g/cm3

Cell and atoms, written as POSCAR:
```
SeS2N2
1.0
-0.8098 0.3007 -3.4896
-0.7229 -3.5188 -0.1355
-6.6675 1.3059 1.6598
S N Se
2 2 1
Cartesian
-4.1001 -0.9561 -0.9826
-3.3337 0.6530 0.8299
-0.3615 -1.7594 -0.0677
-0.4049 0.1504 -1.7448
0.0000 0.0000 0.0000
```

***

x:
Here is SeS2N2 after structural relaxation from Alexandria via LeMat-Bulk. Energies are from PBE-GGA.

Calculated values
**Space group**: P4/mmm, No. 123
**Theoretical density**: 3.30 g/cm3

Cell and atoms, written as POSCAR:
```
SeS2N2
1.0
-2.0338 -1.7822 -2.1216
1.4243 -2.9299 1.0958
-5.0390 -0.4892 5.2415
Se N S
1 2 2
Cartesian
-2.8243 -2.6007 2.1079
0.7122 -1.4650 0.5479
-1.0169 -0.8911 -1.0608
0.0000 0.0000 0.0000
-2.5195 -0.2446 2.6208
```

***

Tell me which of them is the most stable. Sure, it is x.

***

w:
Here is SeS2N2 after structural relaxation from Alexandria via LeMat-Bulk. Energies are from PBE-GGA.

Calculated values
**Space group**: P4/mmm, No. 123
**Theoretical density**: 4.45 g/cm3

Cell and atoms, written as POSCAR:
```
SeS2N2
1.0
-3.1940 0.6966 2.4580
-2.1002 -2.9565 -1.8912
1.3588 -2.5586 2.4908
Se S N
1 2 2
Cartesian
-1.9677 -2.4092 1.5288
-1.0501 -1.4782 -0.9456
-1.5970 0.3483 1.2290
0.0000 0.0000 0.0000
0.6794 -1.2793 1.2454
```

***

x:
Here is SeS2N2 after structural relaxation from Alexandria via LeMat-Bulk. Energies are from PBE-GGA.

Calculated values
**Space group**: P4/mmm, No. 123
**Theoretical density**: 3.43 g/cm3

Cell and atoms, written as POSCAR:
```
SeS2N2
1.0
-4.6852 -0.7174 -0.6778
0.5635 -4.6441 1.0200
-0.6110 0.6925 3.4906
Se S N
1 2 2
Cartesian
0.0000 0.0000 0.0000
0.2818 -2.3220 0.5100
-2.3426 -0.3587 -0.3389
-0.3055 0.3462 1.7453
-2.3664 -2.3345 1.9164
```

***

Tell me which of them is the most stable. Sure, it is w.

***

w:
Here is SiSeSN2 after structural relaxation from Alexandria via LeMat-Bulk. Energies are from PBE-GGA.

Calculated values
**Space group**: P4/mmm, No. 123
**Theoretical density**: 3.84 g/cm3

Cell and atoms, written as POSCAR:
```
SiSeSN2
1.0
3.7459 0.0000 0.0000
0.0000 3.7459 0.0000
0.0000 0.0000 5.1485
Se N Si S
1 2 1 1
Cartesian
0.0000 0.0000 0.0000
0.0000 1.8730 0.0000
1.8730 0.0000 0.0000
1.8730 1.8730 2.5742
0.0000 0.0000 2.5742
```

***

x:
Here is SiSeSN2 after structural relaxation from Alexandria via LeMat-Bulk. Energies are from PBE-GGA.

Calculated values
**Space group**: P4/mmm, No. 123
**Theoretical density**: 3.37 g/cm3

Cell and atoms, written as POSCAR:
```
SiSeSN2
1.0
-0.8535 3.3966 0.0943
-2.9116 -0.6809 -1.8257
-3.3531 -1.0014 5.7210
Si S N Se
1 1 2 1
Cartesian
-3.5591 0.8571 1.9948
0.0000 0.0000 0.0000
-0.4267 1.6983 0.0472
-1.4558 -0.3405 -0.9128
-1.6765 -0.5007 2.8605
```

***

Tell me which of them is the most stable. Sure, it is x.